# 1
VASP calculation (PBE-GGA) on CaOs2Rh after structural relaxation.

Computed properties:
The value obtained for the total moment is 1.47 μB/f.u. The energy comes out at -7.166 eV/atom. For the formation energy, the calculation gives 787 meV per atom. Its distance to the lowest polymorph of the same formula is 570 meV/atom.

```
CaOs2Rh
1.0
4.827 0.000 0.000
0.000 4.827 0.000
0.000 0.000 2.815
Ca Os Rh
1 2 1
Cartesian
0.000 0.000 0.000 Ca
0.000 2.414 1.407 Os
2.414 0.000 1.407 Os
2.414 2.414 0.000 Rh
```


# 2
VASP calculation (PBE-GGA) on CeNd2Zn2Sn2 after structural relaxation.

Computed properties:
The value obtained for the total moment is 0.23 μB/f.u. The energy comes out at -4.076 eV/atom. For the formation energy, the calculation gives -359 meV per atom.

```
CeNd2Zn2Sn2
1.0
2.333 1.347 9.905
-2.333 1.347 9.905
0.000 -2.694 9.905
Ce Nd Zn Sn
1 2 2 2
Cartesian
0.000 0.000 0.000 Ce
0.000 0.000 3.787 Nd
0.000 0.000 25.928 Nd
0.000 0.000 11.474 Zn
0.000 0.000 18.241 Zn
0.000 0.000 7.817 Sn
0.000 0.000 21.897 Sn
```